# 1
The following is a PBE-GGA calculation of a relaxed structure of AcLa2UO8, from Alexandria.

Computed properties:
Crystal system   monoclinic
Calculated total energy   -103.7 eV/cell

Cell: 4.080 7.916 5.634 Å, 90.00 90.11 90.00°
Space group P2/m (No. 10)
Inequivalent atoms, fractional coordinates:
Ac (0.000, 0.000, 0.000)
La (0.500, 0.262, 0.500)
U (0.000, 0.500, 0.000)
O (0.001, 0.289, 0.766)
O (0.498, 0.500, 0.217)
O (0.500, 0.000, 0.265)


# 2
The following is a PBE-GGA calculation of a relaxed structure of Cd2TcOs, from Alexandria.

Computed properties:
ΔE_f   21.1 kJ/mol of atoms
Crystal system   trigonal
Calculated total energy   -67.7 eV/cell

Cell: 2.8441 2.8441 30.1518 Å, 90.00 90.00 120.00°
Space group R3m (No. 160, hexagonal axes)
Inequivalent atoms, fractional coordinates:
Cd (0.0000, 0.0000, 0.0000)
Cd (0.0000, 0.0000, 0.2345)
Tc (0.0000, 0.0000, 0.4842)
Os (0.0000, 0.0000, 0.7511)


# 3
The following is a PBE-GGA calculation of a relaxed structure of RbBeAs2I, from Alexandria.

Computed properties:
Crystal system   tetragonal
Calculated total energy   -9.9 eV/cell

Cell: 5.564 5.564 6.584 Å, 90.00 90.00 90.00°
Space group P4/mmm (No. 123)
Inequivalent atoms, fractional coordinates:
Rb (0.000, 0.000, 0.000)
Be (0.500, 0.500, 0.000)
As (0.000, 0.500, 0.500)
I (0.000, 0.000, 0.500)


# 4
The following is a PBE-GGA calculation of a relaxed structure of La3AlGa2O9, from Alexandria.

Computed properties:
Crystal system   trigonal
Calculated total energy   -111.9 eV/cell

Cell: 5.4831 5.4831 6.7191 Å, 90.00 90.00 120.00°
Space group P-3m1 (No. 164)
Inequivalent atoms, fractional coordinates:
La (0.0000, 0.0000, 0.0000)
La (0.3333, 0.6667, 0.6678)
Al (0.0000, 0.0000, 0.5000)
Ga (0.3333, 0.6667, 0.1717)
O (0.0000, 0.5000, 0.0000)
O (0.1632, 0.3264, 0.3377)


# 5
The following is a PBE-GGA calculation of a relaxed structure of CaZnSi2, from Alexandria.

Computed properties:
Crystal system   tetragonal
Calculated total energy   -14.4 eV/cell

Cell: 3.499 3.499 6.304 Å, 90.00 90.00 90.00°
Space group P4/mmm (No. 123)
Inequivalent atoms, fractional coordinates:
Ca (0.000, 0.000, 0.000)
Zn (0.000, 0.000, 0.500)
Si (0.500, 0.500, 0.313)


# 6
The following is a PBE-GGA calculation of a relaxed structure of CdTc2Pt, from Alexandria.

Computed properties:
ΔE_f   8.6 kJ/mol of atoms
Crystal system   monoclinic
Calculated total energy   -27.3 eV/cell

Cell: 2.835 3.887 5.891 Å, 90.00 91.56 90.00°
Space group Pm (No. 6)
Inequivalent atoms, fractional coordinates:
Cd (0.000, 0.000, 0.000)
Tc (0.051, 0.000, 0.517)
Tc (0.470, 0.500, 0.709)
Pt (0.518, 0.500, 0.254)